[1]
Density functional theory data (PBE) for crystalline Tb2DyTh3As6 at its relaxed geometry.

abc: 4.204 8.360 9.372
angles: 102.59 102.96 90.00
Fractional positions:
Tb1 0.833 0.667 0.667
Tb2 0.167 0.333 0.333
Dy1 0.500 0.000 0.000
Th1 0.500 0.500 0.000
Th2 0.833 0.167 0.667
Th3 0.167 0.833 0.333
As1 0.335 0.913 0.670
As2 0.668 0.580 0.336
As3 0.665 0.087 0.330
As4 0.001 0.245 0.003
As5 0.999 0.755 0.997
As6 0.332 0.420 0.664

Formation energy from the elements in meV/atom: -1474



[2]
Density functional theory data (PBE) for crystalline Tb3DyTh2As6 at its relaxed geometry.

abc: 4.186 8.339 9.336
angles: 102.83 102.95 90.00
Fractional positions:
Tb1 0.500 0.500 0.000
Tb2 0.834 0.166 0.668
Tb3 0.166 0.834 0.332
Dy1 0.500 0.000 0.000
Th1 0.835 0.670 0.670
Th2 0.165 0.330 0.330
As1 0.334 0.922 0.668
As2 0.666 0.587 0.331
As3 0.666 0.078 0.332
As4 0.998 0.248 0.997
As5 0.002 0.752 0.003
As6 0.334 0.413 0.669

Formation energy from the elements in meV/atom: -1502



[3]
Density functional theory data (PBE) for crystalline TbDy2ThAs4 at its relaxed geometry.

abc: 4.167 7.196 7.200
angles: 70.52 90.00 90.00
Fractional positions:
Tb1 0.000 0.500 0.500
Dy1 0.000 0.000 0.000
Dy2 0.500 0.000 0.500
Th1 0.500 0.500 0.000
As1 0.000 0.756 0.745
As2 0.000 0.244 0.255
As3 0.500 0.753 0.251
As4 0.500 0.247 0.749

Formation energy from the elements in meV/atom: -1519



[4]
Density functional theory data (PBE) for crystalline Tb2Dy3TmAs6 at its relaxed geometry.

abc: 4.117 8.230 9.202
angles: 102.90 102.93 90.00
Fractional positions:
Tb1 0.834 0.667 0.667
Tb2 0.166 0.333 0.333
Dy1 0.500 0.500 0.000
Dy2 0.833 0.166 0.666
Dy3 0.167 0.834 0.334
Tm1 0.500 0.000 0.000
As1 0.334 0.918 0.669
As2 0.666 0.584 0.333
As3 0.666 0.082 0.331
As4 0.000 0.247 0.999
As5 0.000 0.753 0.001
As6 0.334 0.416 0.667

Formation energy from the elements in meV/atom: -1532



[5]
Density functional theory data (PBE) for crystalline TbDy2UAs4 at its relaxed geometry.

abc: 4.098 7.121 7.120
angles: 109.18 90.00 90.00
Last column: magnetic moment on the atom in μB.
Fractional positions:
Tb1 0.000 0.000 0.000  0.02
Dy1 0.500 0.000 0.500  0.02
Dy2 0.000 0.500 0.500  0.01
U1 0.500 0.500 0.000  2.15
As1 0.500 0.254 0.248  -0.03
As2 0.500 0.746 0.752  -0.03
As3 0.000 0.253 0.752  -0.04
As4 0.000 0.747 0.248  -0.04

Formation energy from the elements in meV/atom: -1332



[6]
Density functional theory data (PBE) for crystalline TbDyU2As4 at its relaxed geometry.

abc: 4.072 7.055 7.202
angles: 109.05 90.00 90.00
Last column: magnetic moment on the atom in μB.
Fractional positions:
Tb1 0.000 0.000 0.000  0.01
Dy1 0.500 0.500 0.000  0.01
U1 0.500 0.000 0.500  2.27
U2 0.000 0.500 0.500  2.26
As1 0.500 0.251 0.253  -0.05
As2 0.500 0.749 0.747  -0.05
As3 0.000 0.250 0.748  -0.05
As4 0.000 0.750 0.252  -0.05

Formation energy from the elements in meV/atom: -1139



Repeat the third record exactly.
Density functional theory data (PBE) for crystalline TbDy2ThAs4 at its relaxed geometry.

abc: 4.167 7.196 7.200
angles: 70.52 90.00 90.00
Fractional positions:
Tb1 0.000 0.500 0.500
Dy1 0.000 0.000 0.000
Dy2 0.500 0.000 0.500
Th1 0.500 0.500 0.000
As1 0.000 0.756 0.745
As2 0.000 0.244 0.255
As3 0.500 0.753 0.251
As4 0.500 0.247 0.749

Formation energy from the elements in meV/atom: -1519



Q: formation energy from the elements of number 3 (TbDy2ThAs4)?
A: -1519 meV/atom



Q: formation energy from the elements of number 2 (Tb3DyTh2As6)?
A: -1502 meV/atom